Crystalline CaInMo2 at its relaxed geometry, computed with PBE-GGA.

abc: 2.8542 2.8542 9.7710
angles: 90.00 90.00 99.05
Fractional coordinates of all 4 atoms:
1 Mo 0.0000 0.0000 0.5190
2 Mo 0.0000 0.0000 0.9810
3 In 0.5000 0.5000 0.7500
4 Ca 0.5000 0.5000 0.2500

As for the total magnetic moment: 0.00 Bohr magnetons per cell. Its space group is No. 65. Its energy of formation from the pure elements is 62 kJ per mole of atoms. For the density of states at the Fermi level, the calculation gives 3.15 states/eV per cell. As for the final energy: -5.958 eV/atom.